1.
# AlGa2Cu

A relaxed AlGa2Cu crystal (PBE, Alexandria).

Energy of formation from the pure elements in meV/atom: -4.2
Calculated total energy in eV/atom: -3.477
Symmetry: P4/mmm, No. 123

Cell: 2.8401 2.8401 7.7602 Å, 90.00 90.00 90.00°
Closest atoms and distances in Å follow each position.
Fractional coordinates of all 4 atoms:
Al (0.0000, 0.0000, 0.0000)  4 Al 2.84, 8 Ga 2.93
Ga (0.5000, 0.5000, 0.2754)  4 Cu 2.66, 4 Ga 2.84, 4 Al 2.93
Ga (0.5000, 0.5000, 0.7246)  4 Cu 2.66, 4 Ga 2.84, 4 Al 2.93
Cu (0.0000, 0.0000, 0.5000)  8 Ga 2.66, 4 Cu 2.84

***

2.
# Sr3CdTe

A relaxed Sr3CdTe crystal (PBE, Alexandria).

Calculated total energy in eV/atom: -2.244
Formation energy (no corrections) in meV per atom: -424
ΔE to the lowest computed polymorph in eV per atom: 0.0000
Symmetry: Pm-3m, No. 221

Cell: 6.2598 6.2598 6.2598 Å, 90.00 90.00 90.00°
Closest atoms and distances in Å follow each position.
Fractional coordinates of all 5 atoms:
Sr (0.0000, 0.0000, 0.5000)  2 Te 3.13
Sr (0.0000, 0.5000, 0.0000)  2 Te 3.13
Sr (0.5000, 0.0000, 0.0000)  2 Te 3.13
Cd (0.5000, 0.5000, 0.5000)  12 Sr 4.43
Te (0.0000, 0.0000, 0.0000)  6 Sr 3.13

***

What did the first record say?
# AlGa2Cu

A relaxed AlGa2Cu crystal (PBE, Alexandria).

Energy of formation from the pure elements in meV/atom: -4.2
Calculated total energy in eV/atom: -3.477
Symmetry: P4/mmm, No. 123

Cell: 2.8401 2.8401 7.7602 Å, 90.00 90.00 90.00°
Closest atoms and distances in Å follow each position.
Fractional coordinates of all 4 atoms:
Al (0.0000, 0.0000, 0.0000)  4 Al 2.84, 8 Ga 2.93
Ga (0.5000, 0.5000, 0.2754)  4 Cu 2.66, 4 Ga 2.84, 4 Al 2.93
Ga (0.5000, 0.5000, 0.7246)  4 Cu 2.66, 4 Ga 2.84, 4 Al 2.93
Cu (0.0000, 0.0000, 0.5000)  8 Ga 2.66, 4 Cu 2.84